Pr3Sm4Tm8 | PBE | relaxed

a = 6.741 Å, b = 9.291 Å, c = 9.291 Å
α = 87.71°, β = 111.22°, γ = 111.22°
Fractional coordinates of all 15 atoms:
Tm (0.000, 0.638, 0.362)
Tm (0.994, 0.734, 0.734)
Tm (0.527, 0.266, 0.266)
Sm (0.000, 0.500, 0.000)
Tm (0.000, 0.362, 0.638)
Sm (0.500, 0.000, 0.000)
Sm (0.000, 0.000, 0.500)
Pr (0.500, 0.500, 0.000)
Tm (0.500, 0.745, 0.255)
Tm (0.473, 0.734, 0.734)
Pr (0.500, 0.000, 0.500)
Tm (0.006, 0.266, 0.266)
Sm (0.000, 0.000, 0.000)
Tm (0.500, 0.255, 0.745)
Pr (0.500, 0.500, 0.500)

Symmetry: C2/m
D(E_F) (states/eV/f.u.): 30.78
ΔH_f (0 K) (meV per atom): 374